No. 1
DFT (GGA-PBE) results for an optimized crystal structure of Lu2SnPb.

Properties
The value obtained for the energy is -18.21 eV per cell. The total magnetization comes out at 0.000 μB/atom. The calculation puts the energy relative to the elements at -1.45 eV/f.u. The energy above the most stable polymorph in this dataset is 0.071 eV per atom.

a = 3.7493 Å, b = 3.7493 Å, c = 9.3445 Å
α = 78.43°, β = 78.43°, γ = 60.00°
Last column: nearest neighbours and their distance in Å.
Positions (direct):
Lu (0.7480, 0.7480, 0.7560)  3 Sn 3.10, 3 Pb 3.18
Lu (0.2520, 0.2520, 0.2440)  3 Sn 3.10, 3 Pb 3.18
Pb (0.5000, 0.5000, 0.5000)  6 Lu 3.18
Sn (0.0000, 0.0000, 0.0000)  6 Lu 3.10

No. 2
DFT (GGA-PBE) results for an optimized crystal structure of MgCoAg.

Properties
The value obtained for the energy is -10.05 eV per cell. The total magnetization comes out at 0.444 μB/atom. The calculation puts the energy relative to the elements at 1.51 eV/f.u. The energy above the most stable polymorph in this dataset is 0.313 eV per atom.

a = 4.2886 Å, b = 4.2886 Å, c = 4.2886 Å
α = 60.00°, β = 60.00°, γ = 60.00°
Last column: nearest neighbours and their distance in Å.
Positions (direct):
Ag (0.5000, 0.5000, 0.5000)  4 Co 2.63
Mg (0.0000, 0.0000, 0.0000)  4 Co 2.63
Co (0.2500, 0.2500, 0.2500)  4 Ag 2.63, 4 Mg 2.63

No. 3
DFT (GGA-PBE) results for an optimized crystal structure of LiCoAu2.

Properties
The value obtained for the energy is -15.33 eV per cell. The total magnetization comes out at 0.443 μB/atom. The calculation puts the energy relative to the elements at 0.25 eV/f.u.

a = 2.8049 Å, b = 2.8049 Å, c = 7.8120 Å
α = 90.00°, β = 90.00°, γ = 90.00°
Last column: nearest neighbours and their distance in Å.
Positions (direct):
Co (0.0000, 0.0000, 0.5070)  4 Au 2.69, 4 Li 2.70, 4 Co 2.80
Li (0.5000, 0.5000, 0.7424)  4 Au 2.70, 4 Co 2.70, 4 Li 2.80
Au (0.0000, 0.0000, 0.9767)  4 Li 2.70, 4 Au 2.80
Au (0.5000, 0.5000, 0.2739)  4 Co 2.69, 4 Au 2.80

No. 4
DFT (GGA-PBE) results for an optimized crystal structure of PuZrAu.

Properties
The value obtained for the energy is -26.79 eV per cell. The total magnetization comes out at 1.750 μB/atom. The calculation puts the energy relative to the elements at -0.63 eV/f.u. The energy above the most stable polymorph in this dataset is 0.000 eV per atom.

a = 3.2571 Å, b = 3.2571 Å, c = 6.8550 Å
α = 103.74°, β = 103.74°, γ = 90.00°
Last column: nearest neighbours and their distance in Å.
Positions (direct):
Pu (0.0019, 0.0019, 0.0039)  4 Au 3.24, 4 Pu 3.26, 4 Zr 3.29
Au (0.6783, 0.6783, 0.3567)  4 Zr 2.94, 4 Pu 3.24, 4 Au 3.26
Zr (0.3197, 0.3197, 0.6394)  4 Au 2.94, 4 Zr 3.26

Q: Which of these has the lowest energy?
A: PuZrAu